Entry 1:
{
  "formula": "Sm2ScTe2S2",
  "functional": "PBE",
  "state": "relaxed",
  "space_group": "I4/mmm, No. 139",
  "crystal_system": "tetragonal",
  "lattice_angstrom": [[4.794, 0.000, 0.000], [0.000, 4.794, 0.000], [-2.397, -2.397, 8.015]],
  "species": ["Te", "Te", "S", "S", "Sm", "Sm", "Sc"],
  "frac_coords": [[0.183, 0.183, 0.366], [0.817, 0.817, 0.634], [0.500, 0.000, 0.000], [0.000, 0.500, 0.000], [0.618, 0.618, 0.236], [0.382, 0.382, 0.764], [0.000, 0.000, 0.000]]
}



Entry 2:
{
  "formula": "SmTh2ScS4",
  "functional": "PBE",
  "state": "relaxed",
  "space_group": "P2/m, No. 10",
  "crystal_system": "monoclinic",
  "lattice_angstrom": [[-1.803, -3.485, -0.165], [2.432, -0.963, -6.212], [4.549, -2.574, 4.641]],
  "species": ["S", "S", "S", "S", "Sc", "Sm", "Th", "Th"],
  "frac_coords": [[0.000, 0.757, 0.235], [0.500, 0.231, 0.228], [0.000, 0.243, 0.765], [0.500, 0.769, 0.772], [0.000, 0.000, 0.000], [0.500, 0.500, 0.000], [0.000, 0.500, 0.500], [0.500, 0.000, 0.500]]
}



Entry 3:
{
  "formula": "Sm2ThScS4",
  "functional": "PBE",
  "state": "relaxed",
  "space_group": "P2/m, No. 10",
  "crystal_system": "monoclinic",
  "lattice_angstrom": [[-3.307, 0.223, 2.096], [-0.827, -6.822, -0.580], [3.648, 1.336, 5.612]],
  "species": ["S", "S", "S", "S", "Sm", "Sm", "Th", "Sc"],
  "frac_coords": [[0.500, 0.768, 0.766], [0.500, 0.232, 0.234], [0.000, 0.762, 0.244], [0.000, 0.238, 0.756], [0.000, 0.500, 0.500], [0.500, 0.000, 0.500], [0.500, 0.500, 0.000], [0.000, 0.000, 0.000]]
}



| no. | uncorrected formation energy (eV per atom) | D(E_F) (states/eV/atom) |
| --- | --- | --- |
| 1 | -1.546 | 0.38 |
| 2 | -1.851 | 0.65 |
| 3 | -1.899 | 0.48 |